(1)
SnSbN PBE relaxed; spin magnetization = 0.00 μB per formula unit; raw total energy = -5.36 eV/atom; N(E_F) = 1.096 states/eV per cell; offset from the most stable computed form = 30 meV/atom; crystal system = monoclinic
1.0
9.9185 -2.0660 0.0000
9.9185 2.0660 0.0000
-1.4390 0.0000 5.4091
Sn Sb N
2 2 2
Direct
0.0000 0.0000 0.0000
0.0732 0.0732 0.5669
0.3914 0.3914 0.9004
0.4589 0.4589 0.4622
0.7240 0.7240 0.1212
0.7367 0.7367 0.3271



(2)
SnSbN PBE relaxed; spin magnetization = 0.00 μB per formula unit; raw total energy = -5.35 eV/atom; N(E_F) = 0.350 states/eV per cell; offset from the most stable computed form = 41 meV/atom; crystal system = triclinic
1.0
4.2829 0.0000 0.0000
1.9496 5.8527 0.0000
2.0855 -0.0713 9.6105
Sn Sb N
2 2 2
Direct
0.1245 0.2004 0.0880
0.8755 0.7996 0.9120
0.3257 0.6748 0.1180
0.6743 0.3252 0.8820
0.4429 0.0909 0.4864
0.5571 0.9091 0.5136



(3)
Sn2SbN PBE relaxed; spin magnetization = 0.00 μB per formula unit; raw total energy = -4.08 eV/atom; N(E_F) = 3.144 states/eV per cell; offset from the most stable computed form = 637 meV/atom; crystal system = cubic
1.0
0.0000 3.5169 3.5169
3.5169 0.0000 3.5169
3.5169 3.5169 0.0000
Sn Sb N
2 1 1
Direct
0.2500 0.2500 0.2500
0.7500 0.7500 0.7500
0.0000 0.0000 0.0000
0.5000 0.5000 0.5000



(4)
Sn4Sb5N2 PBE relaxed; spin magnetization = 0.00 μB per formula unit; raw total energy = -4.57 eV/atom; N(E_F) = 3.045 states/eV per cell; crystal system = monoclinic
1.0
10.4663 -1.6502 0.0000
10.4663 1.6502 0.0000
-1.9413 0.0000 9.2750
Sn Sb N
4 5 2
Direct
0.0180 0.0180 0.2022
0.3086 0.3086 0.6201
0.6914 0.6914 0.3799
0.9820 0.9820 0.7978
0.1100 0.1100 0.9989
0.1292 0.1292 0.6724
0.5000 0.5000 0.5000
0.8708 0.8708 0.3276
0.8900 0.8900 0.0011
0.1987 0.1987 0.5409
0.8013 0.8013 0.4591